Compound: Co3O2F4
Source: Alexandria via LeMat-Bulk
Functional: GGA+U
Structure: relaxed

Lattice parameters (Å, degrees): 4.5938 5.5166 7.7081 86.77 87.32 86.99
Element x y z (fractional)
Co1 0.0000 0.0000 0.0000
Co2 0.0024 0.6625 0.3307
Co3 0.0707 0.3297 0.6602
Co4 0.4792 0.8278 0.6727
Co5 0.5034 0.4988 0.9838
Co6 0.5134 0.1612 0.3277
O1 0.2032 0.0271 0.7707
O2 0.2197 0.3602 0.4247
O3 0.3214 0.5430 0.7775
O4 0.8063 0.9648 0.2295
F1 0.2194 0.6988 0.0953
F2 0.3125 0.8615 0.4275
F3 0.3140 0.2168 0.0845
F4 0.6912 0.1106 0.5645
F5 0.7019 0.4585 0.2071
F6 0.7100 0.7793 0.9062
F7 0.8002 0.2986 0.8852
F8 0.8025 0.6235 0.5708

- Polymorph energy (0 for the lowest one): 0.0640 eV per atom
- Total moment: 6.0 μB/f.u.
- DFT total energy: -5.151 eV/atom
- D(E_F): 2.394 states/eV per cell
- Space group: P1 (1)